#a
Compound: SrInRe
Source: Alexandria
Functional: PBE
Structure: relaxed

Cell and atoms, written as POSCAR:
```
SrInRe
1.0
0.000 3.480 3.480
3.480 0.000 3.480
3.480 3.480 0.000
Sr In Re
1 1 1
direct
0.000 0.000 0.000 Sr
0.500 0.500 0.500 In
0.250 0.250 0.250 Re
```

Space-group type ... No. 216
Total magnetization ... 1.9 μB per formula unit

#b
Compound: SrInRe
Source: Alexandria
Functional: PBE
Structure: relaxed

Cell and atoms, written as POSCAR:
```
SrInRe
1.0
-1.546 1.546 7.159
1.546 -1.546 7.159
1.546 1.546 -7.159
Sr In Re
1 1 1
direct
0.000 0.000 0.000 Sr
0.304 0.304 0.000 In
0.669 0.669 0.000 Re
```

Space-group type ... No. 107
Total magnetization ... 0.2 μB per formula unit

#c
Compound: SrInRe
Source: Alexandria
Functional: PBE
Structure: relaxed

Cell and atoms, written as POSCAR:
```
SrInRe
1.0
0.000 3.623 3.623
3.623 0.000 3.623
3.623 3.623 0.000
Sr In Re
1 1 1
direct
0.000 0.000 0.000 Sr
0.250 0.250 0.250 In
0.750 0.750 0.750 Re
```

Space-group type ... No. 216
Total magnetization ... 2.6 μB per formula unit

Pick the most stable structure from those above. Pick: #b